NaZr2V | PBE-GGA | relaxed

## Properties
For the total energy, the calculation gives -21.8 eV per formula unit. Its density is 2.80 g/cm3. As for the symmetry: I4_1/amd (141).

Geometry as CIF:
```
data_NaZr2V
_symmetry_space_group_name_H-M 'P 1'
_symmetry_Int_Tables_number 1
_symmetry_space_group_name_Hall 'P 1'
_cell_length_a 7.524
_cell_length_b 7.524
_cell_length_c 7.564
_cell_angle_alpha 60.17
_cell_angle_beta 60.17
_cell_angle_gamma 90.00
loop_
_atom_site_label
_atom_site_type_symbol
_atom_site_fract_x
_atom_site_fract_y
_atom_site_fract_z
Na1 Na 0.500 0.500 0.000
Zr1 Zr 0.875 0.125 0.250
Na2 Na 0.250 0.750 0.500
V1 V 0.000 0.000 0.000
Zr2 Zr 0.875 0.625 0.250
Zr3 Zr 0.875 0.125 0.750
Zr4 Zr 0.375 0.125 0.750
V2 V 0.750 0.250 0.500
```